1.
Compound: ZnFeSe2
Source: the Alexandria database
Functional: PBE-GGA
Structure: relaxed

Space-group type = I-4m2, No. 119

Unit cell a=7.9558 b=7.9558 c=7.9558 alpha=154.30 beta=154.30 gamma=36.67
Closest atoms and distances in Å follow each position.
Atoms (fractional coordinates):
Zn 0.0000 0.0000 0.0000  4 Se 2.50
Fe 0.2500 0.7500 0.5000  4 Se 2.50
Se 0.5000 0.5000 0.0000  4 Zn 2.50
Se 0.7500 0.2500 0.5000  4 Fe 2.50

***

2.
Compound: ZnFe2Se
Source: the Alexandria database
Functional: PBE-GGA
Structure: relaxed

Offset from the most stable computed form = 0.160 eV per atom
Space-group type = R-3m, No. 166

Unit cell a=7.9969 b=7.9969 c=7.9969 alpha=20.72 beta=20.72 gamma=20.72
Closest atoms and distances in Å follow each position.
Atoms (fractional coordinates):
Zn 0.0000 0.0000 0.0000  6 Fe 2.63, 6 Zn 2.88
Fe 0.2465 0.2465 0.2465  3 Se 2.50, 3 Zn 2.63
Fe 0.7535 0.7535 0.7535  3 Se 2.50, 3 Zn 2.63
Se 0.5000 0.5000 0.5000  6 Fe 2.50

***

Number 1: calculated density 4.9 g cm⁻³, density of states at the Fermi level 0.967 states/eV per atom, E_form (uncorrected) 0.40 eV per formula unit. Number 2: calculated density 7.6 g cm⁻³, density of states at the Fermi level 0.515 states/eV per atom, E_form (uncorrected) 0.94 eV per formula unit.